A plane-wave DFT calculation with PBE was carried out for crystalline SrFe2Ag at its relaxed geometry.

It has space group Immm (No. 71), with a = 3.421 Å, b = 4.703 Å, c = 9.789 Å, α = 90.00°, β = 90.00° and γ = 90.00°. The asymmetric unit holds Sr at (0.000, 0.000, 0.000), Fe at (0.000, 0.500, 0.230) and Ag at (0.000, 0.000, 0.500).

For the total energy, the calculation gives -4.6570 eV/atom.

***

A plane-wave DFT calculation with PBE was carried out for crystalline Ta2AgMo at its relaxed geometry.

It has space group Fm-3m (No. 225), with a = 6.535 Å, b = 6.535 Å, c = 6.535 Å, α = 90.00°, β = 90.00° and γ = 90.00°. The asymmetric unit holds Ta at (0.250, 0.250, 0.250), Ag at (0.000, 0.000, 0.000) and Mo at (0.000, 0.000, 0.500).

The value obtained for the relative energy among the computed polymorphs is 15.4 kJ per mole of atoms. For the total energy, the calculation gives -9.0943 eV/atom.

***

A plane-wave DFT calculation with PBE was carried out for crystalline CrCoTc2 at its relaxed geometry.

It has space group I4/mmm (No. 139), with a = 3.747 Å, b = 3.747 Å, c = 7.336 Å, α = 90.00°, β = 90.00° and γ = 90.00°. The asymmetric unit holds Cr at (0.000, 0.000, 0.000), Co at (0.000, 0.000, 0.500) and Tc at (0.000, 0.500, 0.250).

The value obtained for the relative energy among the computed polymorphs is 3.1 kJ per mole of atoms. For the total energy, the calculation gives -9.2699 eV/atom.

***

A plane-wave DFT calculation with PBE was carried out for crystalline K3MgIn3Br8 at its relaxed geometry.

It has space group R-3m (No. 166, hexagonal axes), with a = 9.3377 Å, b = 9.3377 Å, c = 22.9389 Å, α = 90.00°, β = 90.00° and γ = 120.00°. The asymmetric unit holds K at (0.0000, 0.5000, 0.0000), Mg at (0.0000, 0.0000, 0.0000), In at (0.0000, 0.5000, 0.5000), Br at (0.0000, 0.0000, 0.2517) and Br at (0.0555, 0.5278, 0.7358).

For the total energy, the calculation gives -3.0125 eV/atom. For the uncorrected formation energy, the calculation gives -1.25 eV per atom.

***

A plane-wave DFT calculation with PBE was carried out for crystalline HfSi2Os at its relaxed geometry.

It has space group R-3m (No. 166, hexagonal axes), with a = 4.0527 Å, b = 4.0527 Å, c = 13.2919 Å, α = 90.00°, β = 90.00° and γ = 120.00°. The asymmetric unit holds Hf at (0.0000, 0.0000, 0.0000), Si at (0.0000, 0.0000, 0.2188) and Os at (0.0000, 0.0000, 0.5000).

For the total energy, the calculation gives -8.4893 eV/atom. For the uncorrected formation energy, the calculation gives -0.48 eV per atom.

***

A plane-wave DFT calculation with PBE was carried out for crystalline LaPmPr6Er2 at its relaxed geometry.

It has space group C2/c (No. 15), with a = 9.413 Å, b = 15.376 Å, c = 9.874 Å, α = 90.00°, β = 98.08° and γ = 90.00°. The asymmetric unit holds La at (0.000, 0.095, 0.250), Pm at (0.000, 0.468, 0.750), Pr at (0.067, 0.326, 0.444), Pr at (0.095, 0.107, 0.620), Pr at (0.210, 0.274, 0.819) and Er at (0.243, 0.453, 0.048).

For the total energy, the calculation gives -4.6397 eV/atom.

***

A plane-wave DFT calculation with PBE was carried out for crystalline CoIrC3 at its relaxed geometry.

It has space group Pm-3m (No. 221), with a = 3.935 Å, b = 3.935 Å, c = 3.935 Å, α = 90.00°, β = 90.00° and γ = 90.00°. The asymmetric unit holds Co at (0.000, 0.000, 0.000), Ir at (0.500, 0.500, 0.500) and C at (0.000, 0.500, 0.500).

The value obtained for the relative energy among the computed polymorphs is 14.6 kJ per mole of atoms. For the total energy, the calculation gives -6.3303 eV/atom.

***

A plane-wave DFT calculation with PBE was carried out for crystalline PrHoEr2Se6 at its relaxed geometry.

It has space group R3 (No. 146, hexagonal axes), with a = 7.2542 Å, b = 7.2542 Å, c = 19.4287 Å, α = 90.00°, β = 90.00° and γ = 120.00°. The asymmetric unit holds Pr at (0.0000, 0.0000, 0.0000), Ho at (0.0000, 0.0000, 0.4933), Er at (0.0000, 0.0000, 0.2961), Er at (0.0000, 0.0000, 0.8002), Se at (0.0055, 0.3115, 0.8932) and Se at (0.0235, 0.6411, 0.0606).

For the total energy, the calculation gives -5.7791 eV/atom. For the uncorrected formation energy, the calculation gives -1.84 eV per atom.